Run 1
This record from Alexandria via LeMat-Bulk describes a geometry-optimized YHoO structure. The functional is PBE.

```
YHoO
1.0
-0.2470 2.7797 1.6293
-1.5796 1.3340 -2.5156
-3.8143 -4.6487 4.1484
Y O Ho
1 1 1
Direct
0.3650 0.2296 0.7300
0.5467 0.5934 0.0935
0.0883 0.1769 0.1765
```

Summary:
symmetry: No. 38
DOS(E_F): 0.52 states/eV/atom

***

Run 2
This record from Alexandria via LeMat-Bulk describes a geometry-optimized YHoO structure. The functional is PBE.

```
YHoO
1.0
3.5232 0.0000 0.0000
-1.7616 3.0512 0.0000
0.0000 0.0000 5.7142
O Y Ho
1 1 1
Direct
0.3333 0.6667 0.6704
0.6667 0.3333 0.4292
0.0000 0.0000 0.9003
```

Summary:
symmetry: No. 156
DOS(E_F): 1.06 states/eV/atom

***

If we sort the structures by their calculated energies, the order from most to least stable is run 2, run 1.

***

Run 1
This record from Alexandria via LeMat-Bulk describes a geometry-optimized Y2HoO structure. The functional is PBE.

```
Y2HoO
1.0
-2.9498 -0.2998 1.9100
-0.7040 -3.0109 1.6965
3.0088 1.8472 8.1931
Y O Ho
2 1 1
Direct
0.2807 0.2807 0.1580
0.7193 0.7193 0.8420
0.0000 0.0000 0.0000
0.5000 0.5000 0.5000
```

Summary:
symmetry: No. 166
DOS(E_F): 1.23 states/eV/atom

***

Run 2
This record from Alexandria via LeMat-Bulk describes a geometry-optimized Y2HoO structure. The functional is PBE.

```
Y2HoO
1.0
-0.2503 -3.0120 -1.0327
0.5959 -1.0619 2.9528
-8.5309 0.1056 1.7596
Y O Ho
2 1 1
Direct
0.0000 0.0000 0.1763
0.0000 0.0000 0.8237
0.5000 0.5000 0.0000
0.5000 0.5000 0.5000
```

Summary:
symmetry: No. 123
DOS(E_F): 1.37 states/eV/atom

***

If we sort the structures by their calculated energies, the order from most to least stable is run 1, run 2.

***

Run 1
This record from Alexandria via LeMat-Bulk describes a geometry-optimized Ho2ZrO structure. The functional is PBE.

```
Ho2ZrO
1.0
3.3236 0.0000 0.0000
1.6618 2.8783 0.0000
1.6618 0.9594 9.0423
Zr Ho O
1 2 1
Direct
0.0000 0.0000 0.0000
0.8843 0.8843 0.3471
0.1157 0.1157 0.6529
0.5000 0.5000 0.5000
```

Summary:
symmetry: No. 166
DOS(E_F): 0.62 states/eV/atom

***

Run 2
This record from Alexandria via LeMat-Bulk describes a geometry-optimized Ho2ZrO structure. The functional is PBE.

```
Ho2ZrO
1.0
3.1380 0.0000 0.0000
0.0000 3.1380 0.0000
0.0000 0.0000 8.1592
Zr Ho O
1 2 1
Direct
0.5000 0.5000 0.5000
0.0000 0.0000 0.8119
0.0000 0.0000 0.1881
0.5000 0.5000 0.0000
```

Summary:
symmetry: No. 123
DOS(E_F): 0.65 states/eV/atom

***

If we sort the structures by their calculated energies, the order from most to least stable is run 1, run 2.